(1)
A geometry-optimized Ca4As2F structure, computed with PBE.

```
data_Ca4As2F
_space_group_name_H-M_alt 'P 1'
_space_group_IT_number 1
_cell_length_a 4.579
_cell_length_b 4.579
_cell_length_c 8.644
_cell_angle_alpha 74.64
_cell_angle_beta 74.64
_cell_angle_gamma 90.00
loop_
_space_group_symop_operation_xyz
'x,y,z'
loop_
_atom_site_label
_atom_site_type_symbol
_atom_site_fract_x
_atom_site_fract_y
_atom_site_fract_z
As1 As 0.370 0.370 0.261
As2 As 0.630 0.630 0.739
Ca1 Ca 0.185 0.185 0.631
Ca2 Ca 0.815 0.815 0.369
Ca3 Ca 0.000 0.500 0.000
Ca4 Ca 0.500 0.000 0.000
F1 F 0.000 0.000 0.000
```

The formation energy (no corrections) comes out at -1.535 eV/atom. For the density, the calculation gives 3.25 g/cm3. For the total magnetization, the calculation gives 0.60 Bohr magnetons per cell.

(2)
A geometry-optimized BaNiB2As structure, computed with PBE.

```
data_BaNiB2As
_space_group_name_H-M_alt 'P 1'
_space_group_IT_number 1
_cell_length_a 4.155
_cell_length_b 5.727
_cell_length_c 4.155
_cell_angle_alpha 90.00
_cell_angle_beta 90.00
_cell_angle_gamma 90.00
loop_
_space_group_symop_operation_xyz
'x,y,z'
loop_
_atom_site_label
_atom_site_type_symbol
_atom_site_fract_x
_atom_site_fract_y
_atom_site_fract_z
Ni1 Ni 0.000 0.000 0.000
As1 As 0.500 0.500 0.500
B1 B 0.000 0.000 0.500
B2 B 0.500 0.000 0.000
Ba1 Ba 0.000 0.500 0.000
```

For the density, the calculation gives 4.91 g/cm3. For the total magnetization, the calculation gives 0.00 Bohr magnetons per cell. As for the total energy: -21.38 eV per cell.

(3)
A geometry-optimized LiGd3 structure, computed with PBE.

```
data_LiGd3
_space_group_name_H-M_alt 'P 1'
_space_group_IT_number 1
_cell_length_a 4.927
_cell_length_b 4.927
_cell_length_c 4.927
_cell_angle_alpha 90.00
_cell_angle_beta 90.00
_cell_angle_gamma 90.00
loop_
_space_group_symop_operation_xyz
'x,y,z'
loop_
_atom_site_label
_atom_site_type_symbol
_atom_site_fract_x
_atom_site_fract_y
_atom_site_fract_z
Gd1 Gd 0.000 0.500 0.500
Gd2 Gd 0.500 0.000 0.500
Gd3 Gd 0.500 0.500 0.000
Li1 Li 0.000 0.000 0.000
```

For the density, the calculation gives 6.65 g/cm3. For the total magnetization, the calculation gives 23.48 Bohr magnetons per cell. As for the total energy: -43.60 eV per cell.

(4)
A geometry-optimized CaAcPtI structure, computed with PBE.

```
data_CaAcPtI
_space_group_name_H-M_alt 'P 1'
_space_group_IT_number 1
_cell_length_a 4.352
_cell_length_b 4.351
_cell_length_c 8.672
_cell_angle_alpha 90.00
_cell_angle_beta 104.53
_cell_angle_gamma 120.00
loop_
_space_group_symop_operation_xyz
'x,y,z'
loop_
_atom_site_label
_atom_site_type_symbol
_atom_site_fract_x
_atom_site_fract_y
_atom_site_fract_z
Ca1 Ca 0.099 0.947 0.062
Ac1 Ac 0.513 0.154 0.683
Pt1 Pt 0.308 0.552 0.875
I1 I 0.957 0.377 0.349
```

The formation energy (no corrections) comes out at -1.161 eV/atom. For the density, the calculation gives 7.19 g/cm3. For the total magnetization, the calculation gives 0.00 Bohr magnetons per cell.

(5)
A geometry-optimized Sr2AlAs structure, computed with PBE.

```
data_Sr2AlAs
_space_group_name_H-M_alt 'P 1'
_space_group_IT_number 1
_cell_length_a 4.216
_cell_length_b 4.875
_cell_length_c 6.331
_cell_angle_alpha 67.36
_cell_angle_beta 90.00
_cell_angle_gamma 90.00
loop_
_space_group_symop_operation_xyz
'x,y,z'
loop_
_atom_site_label
_atom_site_type_symbol
_atom_site_fract_x
_atom_site_fract_y
_atom_site_fract_z
Sr1 Sr 0.000 0.986 0.904
Sr2 Sr 0.500 0.267 0.341
As1 As 0.500 0.554 0.767
Al1 Al 0.000 0.693 0.488
```

For the density, the calculation gives 3.83 g/cm3. For the total magnetization, the calculation gives 0.00 Bohr magnetons per cell. As for the total energy: -14.37 eV per cell.

(6)
A geometry-optimized Ce2PmPbN structure, computed with PBE.

```
data_Ce2PmPbN
_space_group_name_H-M_alt 'P 1'
_space_group_IT_number 1
_cell_length_a 5.078
_cell_length_b 4.898
_cell_length_c 4.898
_cell_angle_alpha 90.00
_cell_angle_beta 90.00
_cell_angle_gamma 90.00
loop_
_space_group_symop_operation_xyz
'x,y,z'
loop_
_atom_site_label
_atom_site_type_symbol
_atom_site_fract_x
_atom_site_fract_y
_atom_site_fract_z
Ce1 Ce 0.000 0.000 0.500
Ce2 Ce 0.000 0.500 0.000
Pm1 Pm 0.500 0.000 0.000
Pb1 Pb 0.500 0.500 0.500
N1 N 0.000 0.000 0.000
```

The formation energy (no corrections) comes out at -0.870 eV/atom. For the density, the calculation gives 8.81 g/cm3. For the total magnetization, the calculation gives 1.74 Bohr magnetons per cell.